No. 1
{
  "formula": "La4NiSe3",
  "functional": "GGA-PBE",
  "state": "optimized geometry",
  "space_group": "P2/c",
  "final_energy_ev_per_atom": -6.030,
  "lattice_angstrom": [[-4.114, -6.052, 0.148], [3.394, 0.459, -6.683], [6.695, -4.475, 3.093]],
  "species": ["La", "La", "La", "La", "La", "La", "La", "La", "Ni", "Ni", "Se", "Se", "Se", "Se", "Se", "Se"],
  "frac_coords": [[0.495, 0.245, 0.368], [0.509, 0.233, 0.881], [0.009, 0.233, 0.119], [0.491, 0.767, 0.119], [0.991, 0.767, 0.881], [0.005, 0.755, 0.368], [0.505, 0.755, 0.632], [0.995, 0.245, 0.632], [0.750, 0.000, 0.874], [0.250, 0.000, 0.126], [0.250, 0.000, 0.624], [0.250, 0.500, 0.873], [0.750, 0.500, 0.621], [0.750, 0.000, 0.376], [0.750, 0.500, 0.127], [0.250, 0.500, 0.379]]
}

***

No. 2
{
  "formula": "BeCrP",
  "functional": "GGA-PBE",
  "state": "optimized geometry",
  "relative_energy_ev_per_fu": 0.49,
  "space_group": "Amm2",
  "formation_enthalpy_0k_mev_per_atom": -209,
  "lattice_angstrom": [[-2.141, -0.701, 2.164], [1.307, -4.193, -0.066], [6.836, 2.014, 7.414]],
  "species": ["Cr", "Cr", "Cr", "Cr", "Be", "Be", "Be", "Be", "P", "P", "P", "P"],
  "frac_coords": [[0.000, 0.500, 0.256], [0.500, 0.000, 0.360], [0.500, 0.500, 0.860], [0.000, 0.000, 0.756], [0.000, 0.236, 0.523], [0.000, 0.264, 0.023], [0.000, 0.764, 0.523], [0.000, 0.736, 0.023], [0.000, 0.000, 0.197], [0.500, 0.000, 0.919], [0.000, 0.500, 0.697], [0.500, 0.500, 0.419]]
}

***

No. 3
{
  "formula": "AcZrNb2O8",
  "functional": "GGA-PBE",
  "state": "optimized geometry",
  "space_group": "R-3",
  "final_energy_ev_per_atom": -8.823,
  "lattice_angstrom": [[-5.102, 1.034, 2.042], [-0.817, 0.171, 5.530], [-0.797, 6.218, 2.518]],
  "species": ["O", "O", "O", "O", "O", "O", "O", "O", "Nb", "Nb", "Zr", "Ac"],
  "frac_coords": [[0.636, 0.324, 0.150], [0.676, 0.111, 0.850], [0.190, 0.190, 0.431], [0.810, 0.810, 0.569], [0.889, 0.636, 0.150], [0.324, 0.889, 0.150], [0.364, 0.676, 0.850], [0.111, 0.364, 0.850], [0.706, 0.706, 0.881], [0.294, 0.294, 0.119], [0.000, 0.000, 0.000], [0.500, 0.500, 0.500]]
}

***

No. 4
{
  "formula": "HSeF",
  "functional": "GGA-PBE",
  "state": "optimized geometry",
  "relative_energy_ev_per_fu": 0.16,
  "space_group": "P-1",
  "lattice_angstrom": [[5.997, -0.788, 2.228], [-0.746, 2.525, -0.691], [1.532, -1.893, 9.274]],
  "species": ["Se", "Se", "F", "F", "H", "H"],
  "frac_coords": [[0.328, 0.674, 0.406], [0.217, 0.038, 0.698], [0.564, 0.301, 0.980], [0.980, 0.410, 0.123], [0.946, 0.099, 0.159], [0.598, 0.612, 0.945]]
}

***

Number 1: Fermi-level density of states 0.690 states/eV per atom. Number 2: Fermi-level density of states 0.747 states/eV per atom. Number 3: Fermi-level density of states 0.385 states/eV per atom. Number 4: Fermi-level density of states 0.198 states/eV per atom.